PrDyMg2Sn2: optimized geometry, PBE.

Cell lengths 8.643, 8.643, 8.643 Å; angles 150.05, 150.05, 42.88 degrees
Fractional positions:
Dy  0.665  0.665  0.000
Mg  0.001  0.501  0.500
Mg  0.501  0.001  0.500
Pr  0.333  0.333  0.000
Sn  0.866  0.866  0.000
Sn  0.134  0.134  0.000

- crystal system = tetragonal
- magnetic moment (Bohr magnetons per cell) = 0.00
- space group = No. 107
- E_tot (eV per atom) = -4.000



KNdNp: optimized geometry, PBE.

Cell lengths 5.836, 5.836, 5.836 Å; angles 60.00, 60.00, 60.00 degrees
Last column: magnetic moment on the atom in μB.
Fractional positions:
K  0.000  0.000  0.000  0.04
Np  0.500  0.500  0.500  4.71
Nd  0.250  0.250  0.250  0.76

- crystal system = cubic
- distance to the lowest polymorph of the same formula (meV/atom) = 0
- magnetic moment (Bohr magnetons per cell) = 7.33
- space group = No. 216



Pm2PaN3: optimized geometry, PBE.

Cell lengths 6.157, 6.157, 7.113 Å; angles 106.79, 106.79, 48.15 degrees
Fractional positions:
N  0.145  0.145  0.572
N  0.500  0.500  0.750
Pm  0.667  0.667  0.084
Pa  0.000  0.000  0.250
N  0.500  0.500  0.250
Pm  0.333  0.333  0.416
N  0.145  0.145  0.072
N  0.855  0.855  0.928
Pm  0.667  0.667  0.584
Pa  0.000  0.000  0.750
N  0.855  0.855  0.428
Pm  0.333  0.333  0.916

- crystal system = orthorhombic
- magnetic moment (Bohr magnetons per cell) = 0.01
- space group = No. 71
- E_tot (eV per atom) = -8.901



Please write out number 2 again, unchanged.
KNdNp: optimized geometry, PBE.

Cell lengths 5.836, 5.836, 5.836 Å; angles 60.00, 60.00, 60.00 degrees
Last column: magnetic moment on the atom in μB.
Fractional positions:
K  0.000  0.000  0.000  0.04
Np  0.500  0.500  0.500  4.71
Nd  0.250  0.250  0.250  0.76

- crystal system = cubic
- distance to the lowest polymorph of the same formula (meV/atom) = 0
- magnetic moment (Bohr magnetons per cell) = 7.33
- space group = No. 216



Q: Among the records above, which one has the lowest magnetic moment?
A: PrDyMg2Sn2